[1]
## SrFeAs2F (PBE+U)

Data for a geometry-optimized SrFeAs2F structure.

Unit cell a=4.4796 b=4.4796 c=6.3390 alpha=90.00 beta=90.00 gamma=90.00
With the nearest neighbours (Å) after each atom.
Space group P4/mmm (No. 123)
Unique sites:
Sr  0.0000  0.0000  0.0000 [1 per cell]  4 F 3.17, 2 Fe 3.17
Fe  0.0000  0.0000  0.5000 [1 per cell]  4 As 2.24
As  0.0000  0.5000  0.5000 [2 per cell]  2 Fe 2.24
F  0.5000  0.5000  0.0000 [1 per cell]  4 Sr 3.17

Values from the calculation:
As for the density: 4.08 g/cm³. Its total energy is -21.30 eV for the cell shown. For the spin magnetization, the calculation gives 2.8 μB per cell.


[2]
## Sr2FeAs2F (PBE+U)

Data for a geometry-optimized Sr2FeAs2F structure.

Unit cell a=3.5158 b=3.5158 c=15.4209 alpha=90.00 beta=90.00 gamma=90.00
With the nearest neighbours (Å) after each atom.
Space group P4/mmm (No. 123)
Unique sites:
Sr  0.0000  0.0000  0.1481 [2 per cell]  1 F 2.28
Fe  0.0000  0.0000  0.5000 [1 per cell]  2 As 2.41
As  0.0000  0.0000  0.3438 [2 per cell]  1 Fe 2.41
F  0.0000  0.0000  0.0000 [1 per cell]  2 Sr 2.28

Values from the calculation:
As for the density: 3.48 g/cm³. Its total energy is -21.83 eV for the cell shown. For the spin magnetization, the calculation gives 4.4 μB per cell.


[3]
## Sr2FeAsF (PBE+U)

Data for a geometry-optimized Sr2FeAsF structure.

Unit cell a=5.8046 b=5.8046 c=3.9348 alpha=90.00 beta=90.00 gamma=90.00
With the nearest neighbours (Å) after each atom.
Space group P4/mmm (No. 123)
Unique sites:
Sr  0.0000  0.5000  0.0000 [2 per cell]  2 Fe 2.90
Fe  0.0000  0.0000  0.0000 [1 per cell]  2 F 1.97
As  0.5000  0.5000  0.5000 [1 per cell]  8 Sr 3.51
F  0.0000  0.0000  0.5000 [1 per cell]  2 Fe 1.97

Values from the calculation:
As for the density: 4.07 g/cm³. Its total energy is -18.52 eV for the cell shown. For the spin magnetization, the calculation gives 2.3 μB per cell.


[4]
## TaFeAsF2 (PBE+U)

Data for a geometry-optimized TaFeAsF2 structure.

Unit cell a=3.7975 b=3.7975 c=6.3811 alpha=90.00 beta=90.00 gamma=90.00
With the nearest neighbours (Å) after each atom.
Space group P4/mmm (No. 123)
Unique sites:
Ta  0.0000  0.0000  0.0000 [1 per cell]  4 As 2.69
Fe  0.5000  0.5000  0.5000 [1 per cell]  4 F 1.90
As  0.5000  0.5000  0.0000 [1 per cell]  4 Ta 2.69
F  0.0000  0.5000  0.5000 [2 per cell]  2 Fe 1.90

Values from the calculation:
As for the density: 6.31 g/cm³. Its total energy is -29.50 eV for the cell shown. For the spin magnetization, the calculation gives 6.2 μB per cell.